# 1
# In2PtPb, relaxed, DFT PBE-GGA
# ρ: 10.79 Mg/m³
# spin magnetization: 0.000 μB/atom
# D(E_F): 1.69 states/eV/f.u.
# DFT formation energy: 0.07 eV/atom
data_In2PtPb
_chemical_formula_sum 'In2 Pt1 Pb1'
_cell_length_a 6.146
_cell_length_b 6.146
_cell_length_c 3.885
_cell_angle_alpha 107.48
_cell_angle_beta 107.48
_cell_angle_gamma 122.20
_space_group_name_H-M_alt 'P 1'
_space_group_IT_number 1
loop_
_space_group_symop_operation_xyz
'x,y,z'
loop_
_atom_site_label
_atom_site_fract_x
_atom_site_fract_y
_atom_site_fract_z
In1 0.000 0.500 0.000
In2 0.500 0.000 0.000
Pt1 0.000 0.000 0.500
Pb1 0.500 0.500 0.500

# 2
# Tl6Cd7Hg16, relaxed, DFT PBE-GGA
# ρ: 11.09 Mg/m³
# spin magnetization: 0.000 μB/atom
# D(E_F): 16.90 states/eV/f.u.
# DFT formation energy: 0.02 eV/atom
data_Tl6Cd7Hg16
_chemical_formula_sum 'Tl6 Cd7 Hg16'
_cell_length_a 10.342
_cell_length_b 10.342
_cell_length_c 10.342
_cell_angle_alpha 60.00
_cell_angle_beta 60.00
_cell_angle_gamma 60.00
_space_group_name_H-M_alt 'P 1'
_space_group_IT_number 1
loop_
_space_group_symop_operation_xyz
'x,y,z'
loop_
_atom_site_label
_atom_site_fract_x
_atom_site_fract_y
_atom_site_fract_z
Tl1 0.200 0.200 0.800
Tl2 0.200 0.800 0.200
Tl3 0.200 0.800 0.800
Tl4 0.800 0.200 0.200
Tl5 0.800 0.200 0.800
Tl6 0.800 0.800 0.200
Cd1 0.000 0.000 0.500
Cd2 0.000 0.500 0.000
Cd3 0.000 0.500 0.500
Cd4 0.500 0.000 0.000
Cd5 0.500 0.000 0.500
Cd6 0.500 0.500 0.000
Cd7 0.500 0.500 0.500
Hg1 0.145 0.618 0.618
Hg2 0.162 0.162 0.162
Hg3 0.162 0.162 0.515
Hg4 0.162 0.515 0.162
Hg5 0.382 0.382 0.382
Hg6 0.382 0.382 0.855
Hg7 0.382 0.855 0.382
Hg8 0.485 0.838 0.838
Hg9 0.515 0.162 0.162
Hg10 0.618 0.145 0.618
Hg11 0.618 0.618 0.145
Hg12 0.618 0.618 0.618
Hg13 0.838 0.485 0.838
Hg14 0.838 0.838 0.485
Hg15 0.838 0.838 0.838
Hg16 0.855 0.382 0.382

# 3
# Al2CdFe2, relaxed, DFT PBE-GGA
# ρ: 6.35 Mg/m³
# spin magnetization: 0.676 μB/atom
# D(E_F): 3.69 states/eV/f.u.
# DFT formation energy: -0.03 eV/atom
data_Al2CdFe2
_chemical_formula_sum 'Al4 Cd2 Fe4'
_cell_length_a 7.212
_cell_length_b 7.212
_cell_length_c 2.797
_cell_angle_alpha 90.00
_cell_angle_beta 90.00
_cell_angle_gamma 90.00
_space_group_name_H-M_alt 'P 1'
_space_group_IT_number 1
loop_
_space_group_symop_operation_xyz
'x,y,z'
loop_
_atom_site_label
_atom_site_fract_x
_atom_site_fract_y
_atom_site_fract_z
Al1 0.174 0.326 0.000
Al2 0.326 0.826 0.000
Al3 0.674 0.174 0.000
Al4 0.826 0.674 0.000
Cd1 0.000 0.000 0.500
Cd2 0.500 0.500 0.500
Fe1 0.117 0.617 0.500
Fe2 0.383 0.117 0.500
Fe3 0.617 0.883 0.500
Fe4 0.883 0.383 0.500

# 4
# Ba5Bi2F, relaxed, DFT PBE-GGA
# ρ: 5.52 Mg/m³
# spin magnetization: 0.310 μB/atom
# D(E_F): 6.22 states/eV/f.u.
# formation energy without anion corrections: -1.0715 eV/atom
data_Ba5Bi2F
_chemical_formula_sum 'Ba5 Bi2 F1'
_cell_length_a 7.692
_cell_length_b 7.692
_cell_length_c 7.692
_cell_angle_alpha 116.17
_cell_angle_beta 116.17
_cell_angle_gamma 96.77
_space_group_name_H-M_alt 'P 1'
_space_group_IT_number 1
loop_
_space_group_symop_operation_xyz
'x,y,z'
loop_
_atom_site_label
_atom_site_fract_x
_atom_site_fract_y
_atom_site_fract_z
Ba1 0.000 0.000 0.000
Ba2 0.500 0.500 0.511
Ba3 0.500 0.990 0.000
Ba4 0.990 0.500 0.000
Ba5 0.990 0.990 0.489
Bi1 0.495 0.995 0.500
Bi2 0.995 0.495 0.500
F1 0.733 0.733 0.000

# 5
# La2SmTl, relaxed, DFT PBE-GGA
# ρ: 8.02 Mg/m³
# spin magnetization: 0.347 μB/atom
# D(E_F): 5.90 states/eV/f.u.
# DFT formation energy: -0.09 eV/atom
data_La2SmTl
_chemical_formula_sum 'La2 Sm1 Tl1'
_cell_length_a 5.701
_cell_length_b 5.701
_cell_length_c 5.701
_cell_angle_alpha 60.00
_cell_angle_beta 60.00
_cell_angle_gamma 60.00
_space_group_name_H-M_alt 'P 1'
_space_group_IT_number 1
loop_
_space_group_symop_operation_xyz
'x,y,z'
loop_
_atom_site_label
_atom_site_fract_x
_atom_site_fract_y
_atom_site_fract_z
La1 0.250 0.250 0.250
La2 0.750 0.750 0.750
Sm1 0.000 0.000 0.000
Tl1 0.500 0.500 0.500

# 6
# CsCoNiCl6, relaxed, DFT PBE-GGA
# ρ: 3.02 Mg/m³
# spin magnetization: 0.234 μB/atom
# formation energy without anion corrections: -0.8902 eV/atom
data_CsCoNiCl6
_chemical_formula_sum 'Cs1 Co1 Ni1 Cl6'
_cell_length_a 6.112
_cell_length_b 6.112
_cell_length_c 7.877
_cell_angle_alpha 90.00
_cell_angle_beta 90.00
_cell_angle_gamma 120.00
_space_group_name_H-M_alt 'P 1'
_space_group_IT_number 1
loop_
_space_group_symop_operation_xyz
'x,y,z'
loop_
_atom_site_label
_atom_site_fract_x
_atom_site_fract_y
_atom_site_fract_z
Cs1 0.000 0.000 0.000
Co1 0.667 0.333 0.500
Ni1 0.333 0.667 0.500
Cl1 0.377 0.016 0.664
Cl2 0.377 0.360 0.336
Cl3 0.640 0.016 0.336
Cl4 0.640 0.623 0.664
Cl5 0.984 0.360 0.664
Cl6 0.984 0.623 0.336

# 7
# AlCdIn, relaxed, DFT PBE-GGA
# ρ: 5.86 Mg/m³
# spin magnetization: 0.000 μB/atom
# D(E_F): 0.98 states/eV/f.u.
# DFT formation energy: 0.13 eV/atom
data_AlCdIn
_chemical_formula_sum 'Al2 Cd2 In2'
_cell_length_a 5.638
_cell_length_b 4.223
_cell_length_c 6.292
_cell_angle_alpha 90.00
_cell_angle_beta 106.07
_cell_angle_gamma 90.00
_space_group_name_H-M_alt 'P 1'
_space_group_IT_number 1
loop_
_space_group_symop_operation_xyz
'x,y,z'
loop_
_atom_site_label
_atom_site_fract_x
_atom_site_fract_y
_atom_site_fract_z
Al1 0.088 0.250 0.395
Al2 0.912 0.750 0.605
Cd1 0.420 0.750 0.642
Cd2 0.580 0.250 0.358
In1 0.188 0.250 0.929
In2 0.812 0.750 0.071

# 8
# YAl2Ir, relaxed, DFT PBE-GGA
# ρ: 8.05 Mg/m³
# spin magnetization: 0.000 μB/atom
# D(E_F): 1.99 states/eV/f.u.
# DFT formation energy: -0.55 eV/atom
data_YAl2Ir
_chemical_formula_sum 'Y1 Al2 Ir1'
_cell_length_a 4.607
_cell_length_b 4.607
_cell_length_c 4.607
_cell_angle_alpha 60.00
_cell_angle_beta 60.00
_cell_angle_gamma 60.00
_space_group_name_H-M_alt 'P 1'
_space_group_IT_number 1
loop_
_space_group_symop_operation_xyz
'x,y,z'
loop_
_atom_site_label
_atom_site_fract_x
_atom_site_fract_y
_atom_site_fract_z
Y1 0.000 0.000 0.000
Al1 0.250 0.250 0.250
Al2 0.750 0.750 0.750
Ir1 0.500 0.500 0.500

# 9
# LiZr2Rh, relaxed, DFT PBE-GGA
# ρ: 6.69 Mg/m³
# spin magnetization: 0.000 μB/atom
# D(E_F): 4.33 states/eV/f.u.
# DFT formation energy: -0.24 eV/atom
data_LiZr2Rh
_chemical_formula_sum 'Li1 Zr2 Rh1'
_cell_length_a 3.309
_cell_length_b 3.426
_cell_length_c 6.403
_cell_angle_alpha 90.00
_cell_angle_beta 90.07
_cell_angle_gamma 90.00
_space_group_name_H-M_alt 'P 1'
_space_group_IT_number 1
loop_
_space_group_symop_operation_xyz
'x,y,z'
loop_
_atom_site_label
_atom_site_fract_x
_atom_site_fract_y
_atom_site_fract_z
Li1 0.000 0.000 0.000
Zr1 0.500 0.500 0.253
Zr2 0.500 0.500 0.747
Rh1 0.000 0.000 0.500

# 10
# Pm6Sb3P2Se, relaxed, DFT PBE-GGA
# ρ: 6.67 Mg/m³
# spin magnetization: 0.000 μB/atom
# D(E_F): 2.25 states/eV/f.u.
# formation energy without anion corrections: -1.4230 eV/atom
data_Pm6Sb3P2Se
_chemical_formula_sum 'Pm6 Sb3 P2 Se1'
_cell_length_a 9.679
_cell_length_b 9.679
_cell_length_c 8.688
_cell_angle_alpha 103.38
_cell_angle_beta 103.38
_cell_angle_gamma 25.70
_space_group_name_H-M_alt 'P 1'
_space_group_IT_number 1
loop_
_space_group_symop_operation_xyz
'x,y,z'
loop_
_atom_site_label
_atom_site_fract_x
_atom_site_fract_y
_atom_site_fract_z
Pm1 0.007 0.007 0.249
Pm2 0.328 0.328 0.430
Pm3 0.333 0.333 0.900
Pm4 0.667 0.667 0.100
Pm5 0.672 0.672 0.570
Pm6 0.993 0.993 0.751
Sb1 0.164 0.164 0.833
Sb2 0.500 0.500 0.500
Sb3 0.836 0.836 0.167
P1 0.167 0.167 0.333
P2 0.833 0.833 0.667
Se1 0.500 0.500 0.000

# 11
# La2DySn, relaxed, DFT PBE-GGA
# ρ: 7.61 Mg/m³
# spin magnetization: 0.000 μB/atom
# D(E_F): 4.71 states/eV/f.u.
# DFT formation energy: -0.45 eV/atom
data_La2DySn
_chemical_formula_sum 'La2 Dy1 Sn1'
_cell_length_a 4.897
_cell_length_b 4.897
_cell_length_c 5.088
_cell_angle_alpha 90.00
_cell_angle_beta 90.00
_cell_angle_gamma 90.00
_space_group_name_H-M_alt 'P 1'
_space_group_IT_number 1
loop_
_space_group_symop_operation_xyz
'x,y,z'
loop_
_atom_site_label
_atom_site_fract_x
_atom_site_fract_y
_atom_site_fract_z
La1 0.000 0.500 0.000
La2 0.500 0.000 0.000
Dy1 0.000 0.000 0.500
Sn1 0.500 0.500 0.500

# 12
# La7Pm4Y, relaxed, DFT PBE-GGA
# ρ: 6.25 Mg/m³
# spin magnetization: 0.039 μB/atom
# D(E_F): 21.21 states/eV/f.u.
# DFT formation energy: 0.20 eV/atom
data_La7Pm4Y
_chemical_formula_sum 'La7 Pm4 Y1'
_cell_length_a 8.836
_cell_length_b 8.836
_cell_length_c 9.645
_cell_angle_alpha 116.22
_cell_angle_beta 116.22
_cell_angle_gamma 41.09
_space_group_name_H-M_alt 'P 1'
_space_group_IT_number 1
loop_
_space_group_symop_operation_xyz
'x,y,z'
loop_
_atom_site_label
_atom_site_fract_x
_atom_site_fract_y
_atom_site_fract_z
La1 0.000 0.000 0.000
La2 0.275 0.275 0.747
La3 0.294 0.294 0.109
La4 0.413 0.413 0.546
La5 0.587 0.587 0.454
La6 0.706 0.706 0.891
La7 0.725 0.725 0.253
Pm1 0.066 0.066 0.705
Pm2 0.169 0.169 0.354
Pm3 0.831 0.831 0.646
Pm4 0.934 0.934 0.295
Y1 0.500 0.500 0.000

# 13
# Sm4TlHg2Rh, relaxed, DFT PBE-GGA
# ρ: 10.42 Mg/m³
# spin magnetization: 0.000 μB/atom
# D(E_F): 7.23 states/eV/f.u.
# DFT formation energy: -0.51 eV/atom
data_Sm4TlHg2Rh
_chemical_formula_sum 'Sm4 Tl1 Hg2 Rh1'
_cell_length_a 9.065
_cell_length_b 9.065
_cell_length_c 9.065
_cell_angle_alpha 34.11
_cell_angle_beta 34.11
_cell_angle_gamma 34.11
_space_group_name_H-M_alt 'P 1'
_space_group_IT_number 1
loop_
_space_group_symop_operation_xyz
'x,y,z'
loop_
_atom_site_label
_atom_site_fract_x
_atom_site_fract_y
_atom_site_fract_z
Sm1 0.113 0.113 0.113
Sm2 0.367 0.367 0.367
Sm3 0.633 0.633 0.633
Sm4 0.887 0.887 0.887
Tl1 0.500 0.500 0.500
Hg1 0.241 0.241 0.241
Hg2 0.759 0.759 0.759
Rh1 0.000 0.000 0.000

# 14
# PmDyTm4Sc2, relaxed, DFT PBE-GGA
# ρ: 7.28 Mg/m³
# spin magnetization: 0.341 μB/atom
# D(E_F): 17.42 states/eV/f.u.
# DFT formation energy: 0.45 eV/atom
data_PmDyTm4Sc2
_chemical_formula_sum 'Pm2 Dy2 Tm8 Sc4'
_cell_length_a 9.244
_cell_length_b 9.244
_cell_length_c 6.617
_cell_angle_alpha 110.96
_cell_angle_beta 110.96
_cell_angle_gamma 88.66
_space_group_name_H-M_alt 'P 1'
_space_group_IT_number 1
loop_
_space_group_symop_operation_xyz
'x,y,z'
loop_
_atom_site_label
_atom_site_fract_x
_atom_site_fract_y
_atom_site_fract_z
Pm1 0.000 0.500 0.000
Pm2 0.500 0.000 0.500
Dy1 0.000 0.000 0.000
Dy2 0.000 0.000 0.500
Tm1 0.251 0.272 0.514
Tm2 0.260 0.740 0.507
Tm3 0.260 0.740 0.993
Tm4 0.272 0.251 0.014
Tm5 0.728 0.749 0.986
Tm6 0.740 0.260 0.007
Tm7 0.740 0.260 0.493
Tm8 0.749 0.728 0.486
Sc1 0.000 0.500 0.500
Sc2 0.500 0.000 0.000
Sc3 0.500 0.500 0.000
Sc4 0.500 0.500 0.500

# 15
# PmBe3Ru, relaxed, DFT PBE-GGA
# ρ: 5.74 Mg/m³
# spin magnetization: 0.000 μB/atom
# D(E_F): 3.15 states/eV/f.u.
# DFT formation energy: -0.11 eV/atom
data_PmBe3Ru
_chemical_formula_sum 'Pm1 Be3 Ru1'
_cell_length_a 4.291
_cell_length_b 4.291
_cell_length_c 4.291
_cell_angle_alpha 90.00
_cell_angle_beta 90.00
_cell_angle_gamma 90.00
_space_group_name_H-M_alt 'P 1'
_space_group_IT_number 1
loop_
_space_group_symop_operation_xyz
'x,y,z'
loop_
_atom_site_label
_atom_site_fract_x
_atom_site_fract_y
_atom_site_fract_z
Pm1 0.000 0.000 0.000
Be1 0.000 0.500 0.500
Be2 0.500 0.000 0.500
Be3 0.500 0.500 0.000
Ru1 0.500 0.500 0.500

# 16
# HoGa2Ag2, relaxed, DFT PBE-GGA
# ρ: 8.81 Mg/m³
# spin magnetization: 0.000 μB/atom
# D(E_F): 2.68 states/eV/f.u.
# DFT formation energy: -0.33 eV/atom
data_HoGa2Ag2
_chemical_formula_sum 'Ho2 Ga4 Ag4'
_cell_length_a 12.249
_cell_length_b 12.249
_cell_length_c 12.249
_cell_angle_alpha 162.32
_cell_angle_beta 159.43
_cell_angle_gamma 27.25
_space_group_name_H-M_alt 'P 1'
_space_group_IT_number 1
loop_
_space_group_symop_operation_xyz
'x,y,z'
loop_
_atom_site_label
_atom_site_fract_x
_atom_site_fract_y
_atom_site_fract_z
Ho1 0.331 0.081 0.250
Ho2 0.669 0.919 0.750
Ga1 0.119 0.369 0.750
Ga2 0.224 0.474 0.750
Ga3 0.776 0.526 0.250
Ga4 0.881 0.631 0.250
Ag1 0.044 0.794 0.250
Ag2 0.449 0.699 0.750
Ag3 0.551 0.301 0.250
Ag4 0.956 0.206 0.750

# 17
# HoNi3H6, relaxed, DFT PBE-GGA
# ρ: 7.60 Mg/m³
# total DFT energy (no corrections): -4.487 eV per atom
# spin magnetization: 0.000 μB/atom
# D(E_F): 1.94 states/eV/f.u.
data_HoNi3H6
_chemical_formula_sum 'Ho1 Ni3 H6'
_cell_length_a 4.956
_cell_length_b 4.956
_cell_length_c 4.956
_cell_angle_alpha 54.88
_cell_angle_beta 54.88
_cell_angle_gamma 54.88
_space_group_name_H-M_alt 'P 1'
_space_group_IT_number 1
loop_
_space_group_symop_operation_xyz
'x,y,z'
loop_
_atom_site_label
_atom_site_fract_x
_atom_site_fract_y
_atom_site_fract_z
Ho1 0.000 0.000 0.000
Ni1 0.225 0.225 0.225
Ni2 0.559 0.559 0.559
Ni3 0.771 0.771 0.771
H1 0.157 0.476 0.829
H2 0.469 0.979 0.490
H3 0.476 0.829 0.157
H4 0.490 0.469 0.979
H5 0.829 0.157 0.476
H6 0.979 0.490 0.469

# 18
# SiPtS, relaxed, DFT PBE-GGA
# ρ: 7.37 Mg/m³
# spin magnetization: 0.000 μB/atom
# D(E_F): 0.11 states/eV/f.u.
# formation energy without anion corrections: -0.5507 eV/atom
data_SiPtS
_chemical_formula_sum 'Si4 Pt4 S4'
_cell_length_a 6.018
_cell_length_b 5.304
_cell_length_c 7.211
_cell_angle_alpha 90.00
_cell_angle_beta 90.54
_cell_angle_gamma 90.00
_space_group_name_H-M_alt 'P 1'
_space_group_IT_number 1
loop_
_space_group_symop_operation_xyz
'x,y,z'
loop_
_atom_site_label
_atom_site_fract_x
_atom_site_fract_y
_atom_site_fract_z
Si1 0.127 0.116 0.157
Si2 0.127 0.384 0.657
Si3 0.873 0.616 0.343
Si4 0.873 0.884 0.843
Pt1 0.239 0.044 0.838
Pt2 0.239 0.456 0.338
Pt3 0.761 0.544 0.662
Pt4 0.761 0.956 0.162
S1 0.369 0.696 0.632
S2 0.369 0.804 0.132
S3 0.631 0.196 0.868
S4 0.631 0.304 0.368

# 19
# KTaAs2, relaxed, DFT PBE-GGA
# ρ: 6.43 Mg/m³
# spin magnetization: 0.000 μB/atom
# D(E_F): 3.25 states/eV/f.u.
# DFT formation energy: 0.45 eV/atom
data_KTaAs2
_chemical_formula_sum 'K1 Ta1 As2'
_cell_length_a 2.865
_cell_length_b 2.865
_cell_length_c 11.638
_cell_angle_alpha 90.00
_cell_angle_beta 90.00
_cell_angle_gamma 90.00
_space_group_name_H-M_alt 'P 1'
_space_group_IT_number 1
loop_
_space_group_symop_operation_xyz
'x,y,z'
loop_
_atom_site_label
_atom_site_fract_x
_atom_site_fract_y
_atom_site_fract_z
K1 0.000 0.000 0.000
Ta1 0.500 0.500 0.283
As1 0.000 0.000 0.454
As2 0.500 0.500 0.769